Record 1
Compound: La2TcMo
Source: Alexandria via LeMat-Bulk
Functional: PBE-GGA
Structure: optimized geometry Values from VASP.

Output
- magnetization (μB per formula unit) = 2.20
- excess energy over the best structure of this formula in the dataset (eV/atom) = 0.5960

Structure (Quantum ESPRESSO input):
```
&SYSTEM
  ibrav = 0, nat = 4, ntyp = 3
/
ATOMIC_SPECIES
La 138.91 La.upf
Tc 98.00 Tc.upf
Mo 95.94 Mo.upf
CELL_PARAMETERS angstrom
9.292 0.050 0.030
8.627 3.451 0.030
8.627 1.685 3.011
ATOMIC_POSITIONS angstrom
La 13.183 2.575 1.525
Tc 19.909 3.889 2.303
Mo 6.636 1.296 0.768
La 0.090 0.017 0.010
```

***

Record 2
Compound: LaTc2Mo
Source: Alexandria via LeMat-Bulk
Functional: PBE-GGA
Structure: optimized geometry Values from VASP.

Output
- uncorrected energy (eV for the cell shown) = -35.53
- magnetization (μB per formula unit) = 0.00

Structure (Quantum ESPRESSO input):
```
&SYSTEM
  ibrav = 0, nat = 4, ntyp = 3
/
ATOMIC_SPECIES
Tc 98.00 Tc.upf
Mo 95.94 Mo.upf
La 138.91 La.upf
CELL_PARAMETERS angstrom
3.175 0.000 0.000
0.000 3.175 0.000
0.000 0.000 7.479
ATOMIC_POSITIONS angstrom
Tc 0.000 0.000 4.154
Mo 1.587 1.587 5.609
La 1.587 1.587 1.870
Tc 0.000 0.000 7.065
```

***

Record 3
Compound: LaTcMo2
Source: Alexandria via LeMat-Bulk
Functional: PBE-GGA
Structure: optimized geometry Values from VASP.

Output
- magnetization (μB per formula unit) = 0.00
- excess energy over the best structure of this formula in the dataset (eV/atom) = 0.1925

Structure (Quantum ESPRESSO input):
```
&SYSTEM
  ibrav = 0, nat = 4, ntyp = 3
/
ATOMIC_SPECIES
La 138.91 La.upf
Mo 95.94 Mo.upf
Tc 98.00 Tc.upf
CELL_PARAMETERS angstrom
-3.123 4.589 -0.524
-3.399 1.177 4.260
5.261 -0.733 -1.695
ATOMIC_POSITIONS angstrom
La -0.700 1.663 2.217
Mo -6.419 5.674 3.677
Tc -0.562 3.369 -0.175
Mo -3.365 2.975 1.928
```

***

Record 4
Compound: La2TcMo
Source: Alexandria via LeMat-Bulk
Functional: PBE-GGA
Structure: optimized geometry Values from VASP.

Output
- magnetization (μB per formula unit) = 0.00
- excess energy over the best structure of this formula in the dataset (eV/atom) = 0.0000

Structure (Quantum ESPRESSO input):
```
&SYSTEM
  ibrav = 0, nat = 4, ntyp = 3
/
ATOMIC_SPECIES
Mo 95.94 Mo.upf
Tc 98.00 Tc.upf
La 138.91 La.upf
CELL_PARAMETERS angstrom
-1.209 -2.898 -0.832
0.659 -1.130 2.974
-8.336 2.657 2.857
ATOMIC_POSITIONS angstrom
Mo -4.637 1.478 1.589
Tc -6.091 -0.160 3.064
La -2.879 -1.184 1.963
La -7.784 2.481 2.668
```

***

Record 5
Compound: LaTc2Mo
Source: Alexandria via LeMat-Bulk
Functional: PBE-GGA
Structure: optimized geometry Values from VASP.

Output
- uncorrected energy (eV for the cell shown) = -34.84
- magnetization (μB per formula unit) = 0.00

Structure (Quantum ESPRESSO input):
```
&SYSTEM
  ibrav = 0, nat = 4, ntyp = 3
/
ATOMIC_SPECIES
Tc 98.00 Tc.upf
La 138.91 La.upf
Mo 95.94 Mo.upf
CELL_PARAMETERS angstrom
-1.091 2.925 3.441
-4.388 1.432 0.528
-2.513 -1.495 3.611
ATOMIC_POSITIONS angstrom
Tc -5.994 2.147 5.685
La -3.996 1.431 3.790
Mo -1.998 0.716 1.895
Tc 0.000 0.000 0.000
```

***

Record 6
Compound: La2TcMo
Source: Alexandria via LeMat-Bulk
Functional: PBE-GGA
Structure: optimized geometry Values from VASP.

Output
- magnetization (μB per formula unit) = 2.32
- excess energy over the best structure of this formula in the dataset (eV/atom) = 0.4629

Structure (Quantum ESPRESSO input):
```
&SYSTEM
  ibrav = 0, nat = 4, ntyp = 3
/
ATOMIC_SPECIES
Tc 98.00 Tc.upf
Mo 95.94 Mo.upf
La 138.91 La.upf
CELL_PARAMETERS angstrom
-2.634 2.753 3.380
-3.058 3.747 -1.598
-5.056 -0.525 0.326
ATOMIC_POSITIONS angstrom
Tc -5.374 2.988 1.054
Mo 0.000 0.000 0.000
La -2.687 1.494 0.527
La -8.061 4.482 1.581
```

***

Record 7
Compound: LaTcMo2
Source: Alexandria via LeMat-Bulk
Functional: PBE-GGA
Structure: optimized geometry Values from VASP.

Output
- magnetization (μB per formula unit) = 0.00
- excess energy over the best structure of this formula in the dataset (eV/atom) = 0.2457

Structure (Quantum ESPRESSO input):
```
&SYSTEM
  ibrav = 0, nat = 4, ntyp = 3
/
ATOMIC_SPECIES
Tc 98.00 Tc.upf
La 138.91 La.upf
Mo 95.94 Mo.upf
CELL_PARAMETERS angstrom
-2.044 -2.541 0.050
0.197 -0.251 -4.763
3.683 -2.956 0.308
ATOMIC_POSITIONS angstrom
Tc 0.820 -2.748 0.179
La 1.940 -1.604 -2.227
Mo 0.000 0.000 0.000
Mo -0.923 -1.396 -2.357
```

***

Record 8
Compound: LaTc2Mo
Source: Alexandria via LeMat-Bulk
Functional: PBE-GGA
Structure: optimized geometry Values from VASP.

Output
- uncorrected energy (eV for the cell shown) = -34.78
- magnetization (μB per formula unit) = 0.00

Structure (Quantum ESPRESSO input):
```
&SYSTEM
  ibrav = 0, nat = 4, ntyp = 3
/
ATOMIC_SPECIES
La 138.91 La.upf
Mo 95.94 Mo.upf
Tc 98.00 Tc.upf
CELL_PARAMETERS angstrom
4.201 0.000 0.000
0.000 2.929 0.028
0.000 0.908 6.280
ATOMIC_POSITIONS angstrom
La 0.000 1.923 3.097
Mo 2.101 2.852 5.170
Tc 2.101 1.041 1.179
Tc 0.000 2.868 0.044
```

***

Record 9
Compound: LaTc2Mo
Source: Alexandria via LeMat-Bulk
Functional: PBE-GGA
Structure: optimized geometry Values from VASP.

Output
- uncorrected energy (eV for the cell shown) = -34.96
- magnetization (μB per formula unit) = 0.00

Structure (Quantum ESPRESSO input):
```
&SYSTEM
  ibrav = 0, nat = 4, ntyp = 3
/
ATOMIC_SPECIES
Mo 95.94 Mo.upf
Tc 98.00 Tc.upf
La 138.91 La.upf
CELL_PARAMETERS angstrom
4.870 -0.005 -0.007
3.855 2.976 -0.007
1.749 0.596 5.536
ATOMIC_POSITIONS angstrom
Mo 2.618 0.892 1.381
Tc 5.312 1.809 2.304
Tc 8.650 2.946 0.443
La 7.855 2.675 4.142
```

***

Record 10
Compound: La2TcMo
Source: Alexandria via LeMat-Bulk
Functional: PBE-GGA
Structure: optimized geometry Values from VASP.

Output
- magnetization (μB per formula unit) = 0.00
- excess energy over the best structure of this formula in the dataset (eV/atom) = 0.4550

Structure (Quantum ESPRESSO input):
```
&SYSTEM
  ibrav = 0, nat = 4, ntyp = 3
/
ATOMIC_SPECIES
Mo 95.94 Mo.upf
La 138.91 La.upf
Tc 98.00 Tc.upf
CELL_PARAMETERS angstrom
3.206 -0.010 0.000
-1.334 2.915 0.000
0.000 0.000 9.310
ATOMIC_POSITIONS angstrom
Mo 0.936 1.452 2.327
La 0.000 0.000 4.721
Tc 0.936 1.452 6.982
La 0.000 0.000 9.243
```

***

Record 11
Compound: LaTcMo2
Source: Alexandria via LeMat-Bulk
Functional: PBE-GGA
Structure: optimized geometry Values from VASP.

Output
- magnetization (μB per formula unit) = 0.00
- excess energy over the best structure of this formula in the dataset (eV/atom) = 0.1483

Structure (Quantum ESPRESSO input):
```
&SYSTEM
  ibrav = 0, nat = 4, ntyp = 3
/
ATOMIC_SPECIES
La 138.91 La.upf
Mo 95.94 Mo.upf
Tc 98.00 Tc.upf
CELL_PARAMETERS angstrom
2.877 -0.004 0.000
-1.089 2.663 0.000
0.000 0.000 9.650
ATOMIC_POSITIONS angstrom
La 0.894 1.329 7.237
Mo 0.000 0.000 4.471
Mo 0.000 0.000 0.354
Tc 0.894 1.329 2.412
```

***

Record 12
Compound: LaTc2Mo
Source: Alexandria via LeMat-Bulk
Functional: PBE-GGA
Structure: optimized geometry Values from VASP.

Output
- uncorrected energy (eV for the cell shown) = -34.96
- magnetization (μB per formula unit) = 0.00

Structure (Quantum ESPRESSO input):
```
&SYSTEM
  ibrav = 0, nat = 4, ntyp = 3
/
ATOMIC_SPECIES
Mo 95.94 Mo.upf
Tc 98.00 Tc.upf
La 138.91 La.upf
CELL_PARAMETERS angstrom
-0.234 -0.666 -2.825
2.722 -0.215 1.009
-1.517 -8.833 2.208
ATOMIC_POSITIONS angstrom
Mo 0.107 -7.066 0.748
Tc -0.804 -4.681 1.170
Tc -1.471 -8.569 2.141
La 0.865 -2.649 -0.356
```

***

Record 13
Compound: LaTc2Mo
Source: Alexandria via LeMat-Bulk
Functional: PBE-GGA
Structure: optimized geometry Values from VASP.

Output
- uncorrected energy (eV for the cell shown) = -67.62
- magnetization (μB per formula unit) = 0.00

Structure (Quantum ESPRESSO input):
```
&SYSTEM
  ibrav = 0, nat = 8, ntyp = 3
/
ATOMIC_SPECIES
Mo 95.94 Mo.upf
Tc 98.00 Tc.upf
La 138.91 La.upf
CELL_PARAMETERS angstrom
-5.455 3.012 -3.837
-0.030 -5.777 -4.492
-4.771 -2.769 -2.368
ATOMIC_POSITIONS angstrom
Mo -3.772 -4.964 -5.512
Tc -2.153 -3.783 -4.062
La 0.000 0.000 0.000
Mo -2.742 -1.382 -4.164
Tc -8.376 -4.221 -8.850
La -6.484 -0.569 -5.185
Tc -4.346 0.325 -3.369
Tc -5.637 -3.388 -5.113
```

***

Record 14
Compound: LaTc2Mo
Source: Alexandria via LeMat-Bulk
Functional: PBE-GGA
Structure: optimized geometry Values from VASP.

Output
- uncorrected energy (eV for the cell shown) = -34.52
- magnetization (μB per formula unit) = 0.00

Structure (Quantum ESPRESSO input):
```
&SYSTEM
  ibrav = 0, nat = 4, ntyp = 3
/
ATOMIC_SPECIES
Mo 95.94 Mo.upf
Tc 98.00 Tc.upf
La 138.91 La.upf
CELL_PARAMETERS angstrom
5.587 0.011 0.001
2.444 5.024 -0.001
-3.333 -3.607 2.665
ATOMIC_POSITIONS angstrom
Mo 1.339 1.827 1.332
Tc 3.343 -0.408 1.333
La 4.017 2.519 0.000
Tc 0.014 0.009 0.000
```

***

Record 15
Compound: LaTc2Mo2
Source: Alexandria via LeMat-Bulk
Functional: PBE-GGA
Structure: optimized geometry Values from VASP.

Output
- uncorrected energy (eV for the cell shown) = -46.86
- magnetization (μB per formula unit) = 0.00

Structure (Quantum ESPRESSO input):
```
&SYSTEM
  ibrav = 0, nat = 5, ntyp = 3
/
ATOMIC_SPECIES
Mo 95.94 Mo.upf
La 138.91 La.upf
Tc 98.00 Tc.upf
CELL_PARAMETERS angstrom
4.401 0.000 0.000
0.000 4.401 0.000
2.200 2.200 5.233
ATOMIC_POSITIONS angstrom
Mo 2.200 4.401 2.617
La 0.000 0.000 0.000
Tc 2.200 2.200 1.319
Tc 4.401 4.401 3.915
Mo 4.401 2.200 2.617
```